# Na2TbPmS4 | the Alexandria database | PBE | relaxed
# - Symmetry: P2/m, No. 10
# - Energy relative to the elements, uncorrected: -1.826 eV/atom
# - Electronic total energy: -43.1 eV for the cell shown
data_Na2TbPmS4
_cell_length_a 4.053
_cell_length_b 7.020
_cell_length_c 7.084
_cell_angle_alpha 109.25
_cell_angle_beta 90.00
_cell_angle_gamma 90.00
_space_group_name_H-M_alt 'P 1'
_space_group_IT_number 1
_space_group_name_Hall 'P 1'
loop_
_atom_site_label
_atom_site_type_symbol
_atom_site_fract_x
_atom_site_fract_y
_atom_site_fract_z
Na1 Na 0.500 0.000 0.500
Na2 Na 0.000 0.500 0.500
Tb1 Tb 0.000 0.000 0.000
Pm1 Pm 0.500 0.500 0.000
S1 S 0.500 0.238 0.228
S2 S 0.500 0.762 0.772
S3 S 0.000 0.252 0.769
S4 S 0.000 0.748 0.231